Entry 1:
# GGA-PBE InRhSeBr2, relaxed
# energy	-2.854	eV/atom
# density	4.89	g/cm3
# ΔE_f (raw)	0.5304	eV/atom
# excess energy over the best structure of this formula in the dataset	703	meV/atom
data_InRhSeBr2
_space_group_name_H-M_alt 'P 4/m m m'
_space_group_IT_number 123
_space_group_name_Hall '-P 4 2'
_cell_length_a 5.376
_cell_length_b 5.376
_cell_length_c 5.367
_cell_angle_alpha 90.00
_cell_angle_beta 90.00
_cell_angle_gamma 90.00
loop_
_atom_site_label
_atom_site_fract_x
_atom_site_fract_y
_atom_site_fract_z
In1 0.000 0.000 0.000
Rh1 0.500 0.500 0.500
Se1 0.000 0.000 0.500
Br1 0.000 0.500 0.000



Entry 2:
# GGA-PBE In2RhSeBr, relaxed
# energy	-2.643	eV/atom
# density	4.78	g/cm3
# ΔE_f (raw)	0.9546	eV/atom
data_In2RhSeBr
_space_group_name_H-M_alt 'P 4/m m m'
_space_group_IT_number 123
_space_group_name_Hall '-P 4 2'
_cell_length_a 5.726
_cell_length_b 5.726
_cell_length_c 5.202
_cell_angle_alpha 90.00
_cell_angle_beta 90.00
_cell_angle_gamma 90.00
loop_
_atom_site_label
_atom_site_fract_x
_atom_site_fract_y
_atom_site_fract_z
In1 0.000 0.500 0.000
Rh1 0.000 0.000 0.500
Se1 0.500 0.500 0.500
Br1 0.500 0.500 0.000



What did the first record say?
# GGA-PBE InRhSeBr2, relaxed
# energy	-2.854	eV/atom
# density	4.89	g/cm3
# ΔE_f (raw)	0.5304	eV/atom
# excess energy over the best structure of this formula in the dataset	703	meV/atom
data_InRhSeBr2
_space_group_name_H-M_alt 'P 4/m m m'
_space_group_IT_number 123
_space_group_name_Hall '-P 4 2'
_cell_length_a 5.376
_cell_length_b 5.376
_cell_length_c 5.367
_cell_angle_alpha 90.00
_cell_angle_beta 90.00
_cell_angle_gamma 90.00
loop_
_atom_site_label
_atom_site_fract_x
_atom_site_fract_y
_atom_site_fract_z
In1 0.000 0.000 0.000
Rh1 0.500 0.500 0.500
Se1 0.000 0.000 0.500
Br1 0.000 0.500 0.000